<a>
First-principles (PBE) data for an optimized crystal structure of GaBiI2N, as listed in Alexandria.

Cell lengths 6.4174, 6.4174, 4.2774 Å; angles 90.00, 90.00, 90.00 degrees
Fractional positions:
Ga1 0.0000 0.0000 0.0000
Bi1 0.5000 0.5000 0.5000
I1 0.0000 0.5000 0.5000
I2 0.5000 0.0000 0.5000
N1 0.5000 0.5000 0.0000

Space-group type: P4/mmm
Spin magnetization, μB per formula unit: 0.274
N(E_F), states/eV per cell: 3.7

***

<b>
First-principles (PBE) data for an optimized crystal structure of GaBiI2N, as listed in Alexandria.

Cell lengths 6.0903, 6.0903, 3.6005 Å; angles 90.00, 90.00, 90.00 degrees
Fractional positions:
Ga1 0.0000 0.0000 0.0000
Bi1 0.5000 0.5000 0.5000
I1 0.0000 0.5000 0.0000
I2 0.5000 0.0000 0.0000
N1 0.0000 0.0000 0.5000

Space-group type: P4/mmm
Spin magnetization, μB per formula unit: 0.430
N(E_F), states/eV per cell: 4.7

***

<b> is preferred energetically. Next in line: 0.051 eV/atom higher.